RbIr2WF: optimized geometry, PBE+U.

```
RbIr2WF
1.0
4.929 0.000 0.000
0.000 4.929 0.000
0.000 0.000 4.471
Rb Ir W F
1 2 1 1
Cartesian
0.000 0.000 0.000 Rb
0.000 2.464 0.000 Ir
2.464 0.000 0.000 Ir
2.464 2.464 2.236 W
0.000 0.000 2.236 F
```

Computed properties:
**Calculated total energy**: -17.0 eV/cell